[1]
Na2Al3P3H2O14, single point on PBEsol structure, DFT meta-GGA SCAN; density of states at the Fermi level = 0.0 states/eV/f.u.; raw total energy = -9.19 eV per atom; mass density = 2.9 g cm⁻³
1.0
-5.144 6.712 -0.710
-2.653 -1.191 7.965
10.489 8.544 4.771
Na Al P H O
8 12 12 8 56
Direct
0.770 0.991 0.788
0.730 0.009 0.288
0.230 0.491 0.712
0.270 0.509 0.212
0.243 0.532 0.457
0.257 0.468 0.957
0.757 0.032 0.043
0.743 0.968 0.543
0.131 0.096 0.709
0.369 0.904 0.209
0.869 0.596 0.791
0.631 0.404 0.291
0.366 0.887 0.551
0.134 0.113 0.051
0.634 0.387 0.949
0.866 0.613 0.449
0.642 0.357 0.637
0.858 0.643 0.137
0.358 0.857 0.863
0.142 0.143 0.363
0.465 0.213 0.458
0.035 0.787 0.958
0.535 0.713 0.042
0.965 0.287 0.542
0.024 0.781 0.622
0.476 0.219 0.122
0.976 0.281 0.878
0.524 0.719 0.378
0.548 0.699 0.704
0.952 0.301 0.204
0.452 0.199 0.796
0.048 0.801 0.296
0.344 0.143 0.609
0.156 0.857 0.109
0.656 0.643 0.891
0.844 0.357 0.391
0.896 0.366 0.701
0.604 0.634 0.201
0.104 0.866 0.799
0.396 0.134 0.299
0.568 0.232 0.370
0.932 0.768 0.870
0.432 0.732 0.130
0.068 0.268 0.630
0.714 0.734 0.741
0.786 0.266 0.241
0.286 0.234 0.759
0.214 0.766 0.259
0.279 0.048 0.615
0.221 0.952 0.115
0.721 0.548 0.885
0.779 0.452 0.385
0.804 0.436 0.708
0.696 0.564 0.208
0.196 0.936 0.792
0.304 0.064 0.292
0.986 0.950 0.656
0.514 0.050 0.156
0.014 0.450 0.844
0.486 0.550 0.344
0.519 0.825 0.628
0.981 0.175 0.128
0.481 0.325 0.872
0.019 0.675 0.372
0.896 0.744 0.549
0.604 0.256 0.049
0.104 0.244 0.951
0.396 0.756 0.451
0.978 0.163 0.796
0.522 0.837 0.296
0.022 0.663 0.704
0.478 0.337 0.204
0.190 0.765 0.578
0.310 0.235 0.078
0.810 0.265 0.922
0.690 0.735 0.422
0.987 0.461 0.512
0.513 0.539 0.012
0.013 0.961 0.988
0.487 0.039 0.488
0.501 0.326 0.539
0.999 0.674 0.039
0.499 0.826 0.961
0.001 0.174 0.461
0.290 0.250 0.433
0.210 0.750 0.933
0.710 0.750 0.067
0.790 0.250 0.567
0.527 0.534 0.661
0.973 0.466 0.161
0.473 0.034 0.839
0.027 0.966 0.339
0.424 0.707 0.783
0.076 0.293 0.283
0.576 0.207 0.717
0.924 0.793 0.217


[2]
Zr2SiSb, single point on PBEsol structure, DFT meta-GGA SCAN; density of states at the Fermi level = 1.9 states/eV/f.u.; formation energy without anion corrections = -0.58 eV/atom; raw total energy = -27.75 eV per atom; mass density = 6.9 g cm⁻³
1.0
-2.986 0.496 -1.734
-1.879 0.049 3.250
1.818 5.872 0.962
Sb Si Zr
1 1 2
Direct
0.500 0.500 0.000
0.500 0.500 0.500
0.944 0.000 0.734
0.056 0.000 0.266


[3]
MoSe2Br, single point on PBEsol structure, DFT meta-GGA SCAN; density of states at the Fermi level = 1.9 states/eV/f.u.; formation energy without anion corrections = -0.21 eV/atom; raw total energy = -23.84 eV per atom; mass density = 6.7 g cm⁻³
1.0
3.318 0.000 0.000
0.000 5.132 -0.064
0.000 -2.504 4.880
Br Mo Se
1 1 2
Direct
0.500 0.000 0.500
0.500 0.500 0.500
0.000 0.308 0.115
0.000 0.692 0.885


[4]
Al4Cr, single point on PBEsol structure, DFT meta-GGA SCAN; density of states at the Fermi level = 1.1 states/eV/f.u.; formation energy from the elements = 8 meV per atom; raw total energy = -9.87 eV per atom; mass density = 3.0 g cm⁻³
1.0
-1.082 0.020 4.766
0.108 -4.608 -1.626
4.373 2.073 -0.687
Cr Al
1 4
Direct
0.000 0.000 0.000
0.000 0.000 0.500
0.000 0.500 0.000
0.500 0.000 0.000
0.500 0.500 0.500


[5]
CaHoTi2O6, single point on PBEsol structure, DFT meta-GGA SCAN; density of states at the Fermi level = 3.4 states/eV/f.u.; formation energy without anion corrections = -3.53 eV/atom; raw total energy = -16.34 eV per atom; mass density = 5.9 g cm⁻³
1.0
5.290 0.000 0.000
0.000 5.515 0.000
0.000 0.000 7.602
Ca Ho Ti O
2 2 4 12
Direct
0.511 0.804 0.000
0.011 0.196 0.500
0.983 0.317 0.000
0.483 0.683 0.500
0.999 0.754 0.750
0.999 0.754 0.250
0.499 0.246 0.250
0.499 0.246 0.750
0.894 0.778 0.500
0.809 0.055 0.803
0.809 0.055 0.197
0.705 0.541 0.798
0.705 0.541 0.202
0.585 0.281 0.500
0.394 0.222 0.000
0.309 0.945 0.303
0.309 0.945 0.697
0.205 0.459 0.702
0.205 0.459 0.298
0.085 0.719 0.000


[6]
Rb2ErTiP3O12, single point on PBEsol structure, DFT meta-GGA SCAN; density of states at the Fermi level = 0.0 states/eV/f.u.; formation energy without anion corrections = -2.95 eV/atom; raw total energy = -14.21 eV per atom; mass density = 4.2 g cm⁻³
1.0
10.202 0.000 0.000
0.000 10.202 0.000
0.000 0.000 10.202
Rb Er Ti P O
8 4 4 12 48
Direct
0.324 0.824 0.676
0.824 0.676 0.324
0.676 0.324 0.824
0.176 0.176 0.176
0.542 0.042 0.458
0.042 0.458 0.542
0.458 0.542 0.042
0.958 0.958 0.958
0.831 0.331 0.169
0.331 0.169 0.831
0.169 0.831 0.331
0.669 0.669 0.669
0.108 0.608 0.892
0.608 0.892 0.108
0.892 0.108 0.608
0.392 0.392 0.392
0.135 0.508 0.200
0.800 0.635 0.992
0.008 0.300 0.865
0.635 0.992 0.800
0.300 0.865 0.008
0.508 0.200 0.135
0.865 0.008 0.300
0.200 0.135 0.508
0.992 0.800 0.635
0.365 0.492 0.700
0.700 0.365 0.492
0.492 0.700 0.365
0.165 0.513 0.050
0.950 0.665 0.987
0.013 0.450 0.835
0.665 0.987 0.950
0.450 0.835 0.013
0.513 0.050 0.165
0.835 0.013 0.450
0.050 0.165 0.513
0.987 0.950 0.665
0.335 0.487 0.550
0.550 0.335 0.487
0.487 0.550 0.335
0.240 0.548 0.768
0.232 0.740 0.952
0.048 0.732 0.760
0.740 0.952 0.232
0.732 0.760 0.048
0.548 0.768 0.240
0.760 0.048 0.732
0.768 0.240 0.548
0.952 0.232 0.740
0.260 0.452 0.268
0.268 0.260 0.452
0.452 0.268 0.260
0.756 0.396 0.357
0.643 0.256 0.104
0.896 0.143 0.244
0.256 0.104 0.643
0.143 0.244 0.896
0.396 0.357 0.756
0.244 0.896 0.143
0.357 0.756 0.396
0.104 0.643 0.256
0.744 0.604 0.857
0.857 0.744 0.604
0.604 0.857 0.744
0.022 0.413 0.228
0.772 0.522 0.087
0.913 0.272 0.978
0.522 0.087 0.772
0.272 0.978 0.913
0.413 0.228 0.022
0.978 0.913 0.272
0.228 0.022 0.413
0.087 0.772 0.522
0.478 0.587 0.728
0.728 0.478 0.587
0.587 0.728 0.478


Look up the raw total energy of the sixth one.
-14.21 eV per atom


Look up the raw total energy of the second one.
-27.75 eV per atom